The following is a DFT calculation (meta-GGA SCAN) of a PBEsol-optimized structure of MnP2H. Values from VASP.

Calculated values
- Uncorrected energy: -0.7472 Ry per atom

```
&SYSTEM
  ibrav = 0, nat = 8, ntyp = 3
/
ATOMIC_SPECIES
Mn 54.94 Mn.upf
P 30.97 P.upf
H 1.01 H.upf
ATOMIC_POSITIONS crystal
Mn 0.0000 0.0000 0.0000
Mn 0.7500 0.2500 0.5000
P 0.1967 0.6250 0.0717
P 0.3750 0.4467 0.5717
P 0.5533 0.1250 0.9283
P 0.8750 0.8033 0.4283
H 0.2500 0.7500 0.5000
H 0.5000 0.5000 0.0000
CELL_PARAMETERS angstrom
-2.6210 2.6210 2.8535
2.6210 -2.6210 2.8535
2.6210 2.6210 -2.8535
```

The following is a DFT calculation (meta-GGA SCAN) of a PBEsol-optimized structure of Na2CaFeAs. Values from VASP.

Calculated values
- Uncorrected energy: -0.8202 Ry per atom
- Formation enthalpy at 0 K: 12 kJ per mole of atoms

```
&SYSTEM
  ibrav = 0, nat = 5, ntyp = 4
/
ATOMIC_SPECIES
Na 22.99 Na.upf
Ca 40.08 Ca.upf
Fe 55.84 Fe.upf
As 74.92 As.upf
ATOMIC_POSITIONS crystal
Na 0.0000 0.5000 0.0000
Na 0.5000 0.0000 0.0000
Ca 0.0000 0.0000 0.5000
Fe 0.5000 0.5000 0.5000
As 0.5000 0.5000 0.0000
CELL_PARAMETERS angstrom
5.4256 0.0000 0.0000
0.0000 5.4256 0.0000
0.0000 0.0000 4.4852
```

The following is a DFT calculation (meta-GGA SCAN) of a PBEsol-optimized structure of AlCu2CI. Values from VASP.

Calculated values
- ΔE_f (raw): 9.779 eV/f.u.
- Uncorrected energy: -1.1056 Ry per atom

```
&SYSTEM
  ibrav = 0, nat = 5, ntyp = 4
/
ATOMIC_SPECIES
Al 26.98 Al.upf
Cu 63.55 Cu.upf
C 12.01 C.upf
I 126.90 I.upf
ATOMIC_POSITIONS crystal
Al 0.0000 0.0000 0.0000
Cu 0.0000 0.5000 0.0000
Cu 0.5000 0.0000 0.0000
C 0.5000 0.5000 0.5000
I 0.0000 0.0000 0.5000
CELL_PARAMETERS angstrom
4.4310 0.0000 0.0000
0.0000 4.4310 0.0000
0.0000 0.0000 5.7780
```

The following is a DFT calculation (meta-GGA SCAN) of a PBEsol-optimized structure of LaMo. Values from VASP.

Calculated values
- Uncorrected energy: -2.8465 Ry per atom
- ΔE to the lowest computed polymorph: 0.000 eV per atom
- Formation enthalpy at 0 K: 26 kJ per mole of atoms

```
&SYSTEM
  ibrav = 0, nat = 4, ntyp = 2
/
ATOMIC_SPECIES
La 138.91 La.upf
Mo 95.94 Mo.upf
ATOMIC_POSITIONS crystal
La 0.2500 0.2500 0.1871
La 0.7500 0.7500 0.8129
Mo 0.2500 0.2500 0.5737
Mo 0.7500 0.7500 0.4263
CELL_PARAMETERS angstrom
3.2486 0.0000 0.0000
0.0000 3.2486 0.0000
0.0000 0.0000 8.9143
```

The following is a DFT calculation (meta-GGA SCAN) of a PBEsol-optimized structure of Ta5Os. Values from VASP.

Calculated values
- Uncorrected energy: -4.9781 Ry per atom
- ΔE to the lowest computed polymorph: 0.005 eV per atom
- Formation enthalpy at 0 K: -25 kJ per mole of atoms

```
&SYSTEM
  ibrav = 0, nat = 6, ntyp = 2
/
ATOMIC_SPECIES
Ta 180.95 Ta.upf
Os 190.23 Os.upf
ATOMIC_POSITIONS crystal
Ta 0.0000 0.0000 0.0000
Ta 0.1624 0.8376 0.5000
Ta 0.3328 0.6672 0.0000
Ta 0.6672 0.3328 0.0000
Ta 0.8376 0.1624 0.5000
Os 0.5000 0.5000 0.5000
CELL_PARAMETERS angstrom
1.6027 -6.8359 0.0000
1.6027 6.8359 0.0000
0.0000 0.0000 4.6039
```

The following is a DFT calculation (meta-GGA SCAN) of a PBEsol-optimized structure of TcPHCl2. Values from VASP.

Calculated values
- Uncorrected energy: -0.9211 Ry per atom

```
&SYSTEM
  ibrav = 0, nat = 5, ntyp = 4
/
ATOMIC_SPECIES
Tc 98.00 Tc.upf
P 30.97 P.upf
H 1.01 H.upf
Cl 35.45 Cl.upf
ATOMIC_POSITIONS crystal
Tc 0.0000 0.0000 0.0000
P 0.0000 0.0000 0.5000
H 0.5000 0.5000 0.5000
Cl 0.0000 0.5000 0.0000
Cl 0.5000 0.0000 0.0000
CELL_PARAMETERS angstrom
4.8062 0.0000 0.0000
0.0000 4.8062 0.0000
0.0000 0.0000 4.4751
```

The following is a DFT calculation (meta-GGA SCAN) of a PBEsol-optimized structure of Sr2Y2Rh. Values from VASP.

Calculated values
- Uncorrected energy: -1.9324 Ry per atom
- Formation enthalpy at 0 K: 49 kJ per mole of atoms

```
&SYSTEM
  ibrav = 0, nat = 5, ntyp = 3
/
ATOMIC_SPECIES
Sr 87.62 Sr.upf
Y 88.91 Y.upf
Rh 102.91 Rh.upf
ATOMIC_POSITIONS crystal
Sr 0.0823 0.0823 0.0000
Sr 0.9177 0.9177 0.0000
Y 0.2500 0.7500 0.5000
Y 0.7500 0.2500 0.5000
Rh 0.5000 0.5000 0.0000
CELL_PARAMETERS angstrom
-2.0439 2.0439 9.9751
2.0439 -2.0439 9.9751
2.0439 2.0439 -9.9751
```

The following is a DFT calculation (meta-GGA SCAN) of a PBEsol-optimized structure of SrRe2As. Values from VASP.

Calculated values
- Uncorrected energy: -3.3330 Ry per atom
- Formation enthalpy at 0 K: 79 kJ per mole of atoms

```
&SYSTEM
  ibrav = 0, nat = 4, ntyp = 3
/
ATOMIC_SPECIES
Sr 87.62 Sr.upf
Re 186.21 Re.upf
As 74.92 As.upf
ATOMIC_POSITIONS crystal
Sr 0.0000 0.0000 0.0000
Re 0.5000 0.5000 0.3287
Re 0.5000 0.5000 0.6713
As 0.0000 0.0000 0.5000
CELL_PARAMETERS angstrom
3.0998 0.0000 0.0000
0.0000 3.0998 0.0000
0.0000 0.0000 7.8261
```

The following is a DFT calculation (meta-GGA SCAN) of a PBEsol-optimized structure of MnCr2Tc. Values from VASP.

Calculated values
- Uncorrected energy: -1.6524 Ry per atom
- ΔE to the lowest computed polymorph: 0.060 eV per atom
- Formation enthalpy at 0 K: 4 kJ per mole of atoms

```
&SYSTEM
  ibrav = 0, nat = 4, ntyp = 3
/
ATOMIC_SPECIES
Mn 54.94 Mn.upf
Cr 52.00 Cr.upf
Tc 98.00 Tc.upf
ATOMIC_POSITIONS crystal
Mn 0.0000 0.0000 0.0000
Cr 0.2676 0.5000 0.7614
Cr 0.7324 0.5000 0.2386
Tc 0.5000 0.0000 0.5000
CELL_PARAMETERS angstrom
2.5027 0.0000 0.0000
0.0000 4.0391 0.0000
-0.7981 0.0000 4.6936
```

The following is a DFT calculation (meta-GGA SCAN) of a PBEsol-optimized structure of KAlZn2. Values from VASP.

Calculated values
- Uncorrected energy: -0.7953 Ry per atom
- Formation enthalpy at 0 K: -4 kJ per mole of atoms

```
&SYSTEM
  ibrav = 0, nat = 4, ntyp = 3
/
ATOMIC_SPECIES
K 39.10 K.upf
Al 26.98 Al.upf
Zn 65.41 Zn.upf
ATOMIC_POSITIONS crystal
K 0.0000 0.0000 0.0000
Al 0.5000 0.5000 0.5000
Zn 0.1861 0.1861 0.1861
Zn 0.8139 0.8139 0.8139
CELL_PARAMETERS angstrom
2.1830 1.2604 6.0651
-2.1830 1.2604 6.0651
0.0000 -2.5207 6.0651
```

The following is a DFT calculation (meta-GGA SCAN) of a PBEsol-optimized structure of AlInFe2. Values from VASP.

Calculated values
- Uncorrected energy: -1.4214 Ry per atom
- Formation enthalpy at 0 K: 1 kJ per mole of atoms

```
&SYSTEM
  ibrav = 0, nat = 4, ntyp = 3
/
ATOMIC_SPECIES
Al 26.98 Al.upf
In 114.82 In.upf
Fe 55.84 Fe.upf
ATOMIC_POSITIONS crystal
Al 0.0000 0.0000 0.0000
In 0.7227 0.2227 0.5000
Fe 0.2501 0.7501 0.5000
Fe 0.4609 0.4609 0.0000
CELL_PARAMETERS angstrom
-1.5652 2.1015 4.2735
1.5652 -2.1015 4.2735
1.5652 2.1015 -4.2735
```

The following is a DFT calculation (meta-GGA SCAN) of a PBEsol-optimized structure of ZnTcAu. Values from VASP.

Calculated values
- Uncorrected energy: -2.8649 Ry per atom
- Formation enthalpy at 0 K: 26 kJ per mole of atoms

```
&SYSTEM
  ibrav = 0, nat = 3, ntyp = 3
/
ATOMIC_SPECIES
Zn 65.41 Zn.upf
Tc 98.00 Tc.upf
Au 196.97 Au.upf
ATOMIC_POSITIONS crystal
Zn 0.0000 0.0000 0.0000
Tc 0.3333 0.6667 0.5000
Au 0.6667 0.3333 0.0000
CELL_PARAMETERS angstrom
4.4579 0.0000 0.0000
-2.2289 3.8606 0.0000
0.0000 0.0000 2.5932
```

Please write out number 11 again, unchanged.
The following is a DFT calculation (meta-GGA SCAN) of a PBEsol-optimized structure of AlInFe2. Values from VASP.

Calculated values
- Uncorrected energy: -1.4214 Ry per atom
- Formation enthalpy at 0 K: 1 kJ per mole of atoms

```
&SYSTEM
  ibrav = 0, nat = 4, ntyp = 3
/
ATOMIC_SPECIES
Al 26.98 Al.upf
In 114.82 In.upf
Fe 55.84 Fe.upf
ATOMIC_POSITIONS crystal
Al 0.0000 0.0000 0.0000
In 0.7227 0.2227 0.5000
Fe 0.2501 0.7501 0.5000
Fe 0.4609 0.4609 0.0000
CELL_PARAMETERS angstrom
-1.5652 2.1015 4.2735
1.5652 -2.1015 4.2735
1.5652 2.1015 -4.2735
```

Which formula does entry 11 have? AlInFe2

Copy entry 5 word for word.
The following is a DFT calculation (meta-GGA SCAN) of a PBEsol-optimized structure of Ta5Os. Values from VASP.

Calculated values
- Uncorrected energy: -4.9781 Ry per atom
- ΔE to the lowest computed polymorph: 0.005 eV per atom
- Formation enthalpy at 0 K: -25 kJ per mole of atoms

```
&SYSTEM
  ibrav = 0, nat = 6, ntyp = 2
/
ATOMIC_SPECIES
Ta 180.95 Ta.upf
Os 190.23 Os.upf
ATOMIC_POSITIONS crystal
Ta 0.0000 0.0000 0.0000
Ta 0.1624 0.8376 0.5000
Ta 0.3328 0.6672 0.0000
Ta 0.6672 0.3328 0.0000
Ta 0.8376 0.1624 0.5000
Os 0.5000 0.5000 0.5000
CELL_PARAMETERS angstrom
1.6027 -6.8359 0.0000
1.6027 6.8359 0.0000
0.0000 0.0000 4.6039
```

What is the formula in the first record? MnP2H